This record from Alexandria describes an optimized crystal structure of Na2SmAgI6. The functional is PBE.

## Properties
Raw formation energy in meV per atom: -1099
Magnetization in μB per atom: 0.00
Uncorrected energy in eV per atom: -3.05

Geometry as CIF:
```
data_Na2SmAgI6
_cell_length_a 7.951
_cell_length_b 7.953
_cell_length_c 8.860
_cell_angle_alpha 63.36
_cell_angle_beta 63.42
_cell_angle_gamma 60.03
_symmetry_space_group_name_H-M 'P 1'
_symmetry_Int_Tables_number 1
_symmetry_space_group_name_Hall 'P 1'
loop_
_atom_site_label
_atom_site_fract_x
_atom_site_fract_y
_atom_site_fract_z
_atom_site_occupancy
Na1 0.000 0.000 0.000 1
Na2 0.483 0.484 0.549 1
Sm1 0.803 0.806 0.587 1
Ag1 0.221 0.224 0.333 1
I1 0.067 0.418 0.791 1
I2 0.202 0.895 0.310 1
I3 0.416 0.723 0.792 1
I4 0.591 0.205 0.309 1
I5 0.720 0.069 0.793 1
I6 0.892 0.594 0.309 1
```